# 1
## CoNiSnBi2 (PBE-GGA)

Data for a relaxed CoNiSnBi2 crystal.

Computed properties:
The calculation puts the total moment at 0.00 μB per cell. The calculation puts the formation energy at 0.61 eV per atom. The space-group type is P4/mmm (123).

abc: 5.068 5.068 4.814
angles: 90.00 90.00 90.00
Sites, in units of the cell vectors:
Co 0.000 0.000 0.000
Ni 0.500 0.500 0.500
Sn 0.000 0.000 0.500
Bi 0.000 0.500 0.000
Bi 0.500 0.000 0.000

# 2
## CoTcNiBi2 (PBE-GGA)

Data for a relaxed CoTcNiBi2 crystal.

Computed properties:
The calculation puts the total moment at 1.33 μB per cell. The calculation puts the formation energy at 1.15 eV per atom. The space-group type is P4/mmm (123).

abc: 5.008 5.008 4.420
angles: 90.00 90.00 90.00
Sites, in units of the cell vectors:
Co 0.000 0.000 0.000
Tc 0.000 0.000 0.500
Ni 0.500 0.500 0.500
Bi 0.000 0.500 0.000
Bi 0.500 0.000 0.000

| no. | electronic total energy (eV/atom) |
| --- | --- |
| 1 | -4.320 |
| 2 | -5.052 |